Entry 1:
Below is a relaxed ErCo5Si3 crystal, with properties calculated at the PBE level.

a = 3.6904 Å, b = 11.6882 Å, c = 11.1502 Å
α = 90.00°, β = 90.00°, γ = 90.00°
With the nearest neighbours (Å) after each atom.
Space group Cmcm (No. 63)
One atom of each set of equivalent atoms:
Er1 0.0000 0.1704 0.2500  7 Si 3.01-3.28, 4 Co 3.19
Co1 0.0000 0.0000 0.0000  4 Si 2.37, 6 Co 2.38-2.53
Co2 0.0000 0.1940 0.5654  4 Si 2.19-2.37, 1 Co 2.38
Co3 0.0000 0.4501 0.1455  4 Si 2.26-2.29, 3 Co 2.33-2.53
Si1 0.0000 0.1101 0.7500  6 Co 2.28-2.29
Si2 0.0000 0.3803 0.5434  7 Co 2.19-2.37

- Energy relative to the elements, uncorrected: -467 kJ/mol of formula units
- Uncorrected energy: -6.8003 eV per atom

***

Entry 2:
Below is a relaxed Li4NdHo3Se8 crystal, with properties calculated at the PBE level.

a = 8.1848 Å, b = 8.1848 Å, c = 19.5194 Å
α = 90.00°, β = 90.00°, γ = 120.00°
With the nearest neighbours (Å) after each atom.
Space group R-3m (No. 166, hexagonal axes)
One atom of each set of equivalent atoms:
Li1 0.0000 0.0000 0.0000  6 Se 2.80
Li2 0.0000 0.5000 0.0000  6 Se 2.86-2.87
Nd1 0.0000 0.0000 0.5000  6 Se 2.93
Ho1 0.0000 0.5000 0.5000  6 Se 2.86-2.87
Se1 0.0000 0.0000 0.2503  3 Li 2.86, 3 Ho 2.87
Se2 0.0081 0.5041 0.7483  3 Li 2.80-2.87, 2 Ho 2.86, 1 Nd 2.93

- Energy relative to the elements, uncorrected: -2601 kJ/mol of formula units
- Uncorrected energy: -5.0619 eV per atom

***

Entry 3:
Below is a relaxed Tb5ThTl3 crystal, with properties calculated at the PBE level.

a = 9.4735 Å, b = 9.4735 Å, c = 6.6977 Å
α = 90.00°, β = 90.00°, γ = 120.00°
With the nearest neighbours (Å) after each atom.
Space group P6_3/mcm (No. 193)
One atom of each set of equivalent atoms:
Tb1 0.0000 0.3246 0.2500  5 Tl 3.14-3.35, 2 Th 3.50
Tb2 0.3333 0.6667 0.0000  8 Tb 3.35-3.61, 6 Tl 3.53
Th1 0.0000 0.0000 0.0000  2 Th 3.35, 6 Tb 3.50, 6 Tl 3.67
Tl1 0.0000 0.3445 0.7500  5 Tb 3.14-3.35

- DFT formation energy: -236 meV/atom
- Uncorrected energy: -4.4216 eV per atom

***

Entry 4:
Below is a relaxed La6Pm3Nd crystal, with properties calculated at the PBE level.

a = 11.0245 Å, b = 19.7187 Å, c = 6.5917 Å
α = 90.00°, β = 90.00°, γ = 90.00°
With the nearest neighbours (Å) after each atom.
Space group Cmc2_1 (No. 36)
One atom of each set of equivalent atoms:
La1 0.0000 0.0309 0.0000  1 Nd 3.43, 2 La 3.51, 4 Pm 3.61-3.66
La2 0.0000 0.2841 0.8053  2 La 3.12, 1 Pm 3.46, 1 Nd 3.48
La3 0.1725 0.4609 0.7022  4 Pm 3.54-3.92, 5 La 3.58-3.85
La4 0.2258 0.2925 0.5207  1 La 3.12, 1 Nd 3.39, 1 Pm 3.39
Pm1 0.0000 0.3835 0.2369  5 La 3.46-3.62, 2 Pm 3.67
Pm2 0.1762 0.1192 0.6103  1 Nd 3.37, 6 La 3.39-3.66, 1 Pm 3.67
Nd1 0.0000 0.1847 0.2423  2 Pm 3.37, 6 La 3.39-3.75

- DFT formation energy: 109 meV/atom
- Uncorrected energy: -4.7494 eV per atom

***

Among the records above, which one has the highest uncorrected energy?
Tb5ThTl3

***

Which formula does entry 3 have?
Tb5ThTl3

***

uncorrected energy of number 2 (Li4NdHo3Se8)?
-5.0619 eV per atom

***

Which of these has the highest uncorrected energy?
Tb5ThTl3